A plane-wave DFT calculation with SCAN was carried out for a crystal of FeCoSi2Hg relaxed with PBEsol.

Summary:
D(E_F) = 0.636 states/eV per atom
VASP energy = -22.9745 eV/atom
raw formation energy = 1.75 eV/atom

Cell: 4.7103 4.7839 4.7839 Å, 90.00 90.00 90.00°
Each line ends with the local moment (μB).
Fractional coordinates of all 5 atoms:
Hg (0.0000, 0.0000, 0.0000)  -0.01
Fe (0.5000, 0.5000, 0.5000)  3.47
Si (0.0000, 0.0000, 0.5000)  -0.06
Si (0.0000, 0.5000, 0.0000)  -0.06
Co (0.5000, 0.0000, 0.0000)  1.84